1.
DFT (PBE) results for crystalline Tl2In9Hg at its relaxed geometry.

Computed properties:
Energy relative to the elements   0.0368 eV/atom

POSCAR file:
```
Tl2In9Hg
1.0
4.9076 0.0000 0.0000
0.0000 4.9076 0.0000
0.0000 0.0000 13.7046
Tl In Hg
2 9 1
Cartesian
0.0000 0.0000 4.5547
0.0000 0.0000 9.1498
2.4538 2.4538 0.0000
2.4538 2.4538 4.5273
2.4538 2.4538 9.1772
2.4538 0.0000 2.1875
2.4538 0.0000 6.8523
2.4538 0.0000 11.5170
0.0000 2.4538 2.1875
0.0000 2.4538 6.8523
0.0000 2.4538 11.5170
0.0000 0.0000 0.0000
```

2.
DFT (PBE) results for crystalline TlInHg2 at its relaxed geometry.

Computed properties:
Energy relative to the elements   0.0228 eV/atom

POSCAR file:
```
TlInHg2
1.0
-2.9796 1.4910 0.4013
-2.1397 -1.1257 2.3274
3.0377 7.4716 8.8261
Tl In Hg
1 1 2
Cartesian
-1.0408 3.9185 5.7774
0.0000 0.0000 0.0000
1.8261 5.5946 6.8044
-3.9078 2.2423 4.7505
```

3.
DFT (PBE) results for crystalline Tl8In5Hg at its relaxed geometry.

Computed properties:
Energy relative to the elements   0.0513 eV/atom

POSCAR file:
```
Tl8In5Hg
1.0
7.8222 0.0000 -2.5560
-3.9661 6.6292 -2.8362
0.1100 0.0000 8.2285
Tl In Hg
8 5 1
Cartesian
-1.6454 4.8375 -1.9673
7.0277 0.6431 2.8230
4.8046 1.7310 0.1943
3.6545 2.6367 4.7414
1.7021 3.9924 -0.9108
0.9773 5.9861 2.9015
1.5725 1.7917 1.9152
-2.2290 4.8982 1.6476
-1.0431 2.1425 0.0473
3.2776 5.9840 -3.1720
3.6736 4.4867 1.8339
3.9661 0.0000 2.8362
2.0240 0.6452 6.9633
0.0550 3.3146 4.1142
```

4.
DFT (PBE) results for crystalline Tl19In4Hg6 at its relaxed geometry.

Computed properties:
Energy relative to the elements   0.0481 eV/atom

POSCAR file:
```
Tl19In4Hg6
1.0
0.1192 -10.5791 -0.0600
8.5358 3.5941 5.1146
-8.7388 3.4006 4.8994
Tl In Hg
19 4 6
Cartesian
-6.2042 -5.1670 3.4833
-2.4154 -2.0116 1.3561
2.4253 -1.9573 1.4164
6.2297 -5.0277 3.6382
-0.1462 5.0347 7.2079
-0.0569 1.9601 2.8061
0.0000 0.0000 0.0000
-3.0106 0.4386 3.7456
3.0178 -7.1571 1.7214
1.7451 -3.0693 5.5183
3.7697 4.0061 5.7476
-1.9199 2.6190 8.9226
0.0086 -4.3740 2.0380
-3.8813 -6.6355 5.5736
-0.0647 -0.1654 6.5487
5.6224 -3.6293 6.7362
-6.8831 -0.9352 3.8785
2.9212 0.4806 3.8107
-1.8282 -3.0849 5.4826
-5.7805 2.2494 3.2408
5.6462 2.3774 3.3832
-0.0284 -1.2134 3.3697
0.0789 -6.9978 -0.0397
-3.2455 0.8790 6.7721
3.1617 -4.4634 3.1818
1.0691 2.5526 5.6906
-1.1529 -6.1370 4.2633
4.2534 -0.9412 6.1798
-4.3373 -2.6432 3.7741
```

5.
DFT (PBE) results for crystalline TlInHg at its relaxed geometry.

Computed properties:
Energy relative to the elements   0.0231 eV/atom

POSCAR file:
```
TlInHg
1.0
5.2756 0.0000 0.0000
-2.6378 4.5688 0.0000
0.0000 0.0000 3.5918
Tl Hg In
1 1 1
Cartesian
0.0000 3.0459 2.4072
0.0000 0.0000 0.5000
2.6378 1.5229 0.6846
```

6.
DFT (PBE) results for crystalline Tl5InHg7 at its relaxed geometry.

Computed properties:
Energy relative to the elements   0.0109 eV/atom

POSCAR file:
```
Tl5InHg7
1.0
5.5901 0.2031 2.0197
3.2715 8.1446 0.2844
0.5451 -0.7904 8.7291
Tl In Hg
5 1 7
Cartesian
2.4825 -0.2685 5.4356
3.8166 7.8945 2.8794
3.9106 4.4117 1.0122
1.8695 1.5133 8.9104
6.1809 6.3089 8.6707
8.4433 7.4723 10.6322
5.5553 3.1754 5.1533
3.8969 5.1170 6.6722
7.3107 3.1084 8.0655
8.0123 5.4078 5.8923
3.1710 2.1224 3.2694
6.3241 5.6955 3.0735
4.8738 0.9427 7.5655
```

- Which of these has the highest energy relative to the elements?
  Tl8In5Hg

- Which value of energy relative to the elements does entry 2 give?
  0.0228 eV/atom